Computed, not measured: a PBEsol-optimized structure of CuRe2Se at the SCAN level of DFT.

Calculated values
M_tot, Bohr magnetons per cell: 0.00
SG: P2/m, No. 10
Energy, Ry per atom: -3.20196
Calculated density, g/cm3: 14.61

Unit cell a=2.7763 b=4.2979 c=4.9169 alpha=90.00 beta=94.11 gamma=90.00
Positions (direct):
Cu 0.0000 0.0000 0.0000
Re 0.3091 0.5000 0.7630
Re 0.6909 0.5000 0.2370
Se 0.5000 0.0000 0.5000

=====

Computed, not measured: a PBEsol-optimized structure of CuRe2Se at the SCAN level of DFT.

Calculated values
M_tot, Bohr magnetons per cell: 0.00
SG: Cm, No. 8
Energy, Ry per atom: -3.21641
Calculated density, g/cm3: 15.20

Unit cell a=4.6735 b=4.6735 c=4.4671 alpha=106.07 beta=106.07 gamma=37.07
Positions (direct):
Cu 0.0000 0.0000 0.0000
Re 0.2553 0.2553 0.8479
Re 0.5030 0.5030 0.5168
Se 0.7485 0.7485 0.2912

=====

Computed, not measured: a PBEsol-optimized structure of CuReSi at the SCAN level of DFT.

Calculated values
Energy relative to the lowest polymorph listed for this composition, meV per atom: 119.1
M_tot, Bohr magnetons per cell: 0.00
SG: I4mm, No. 107
Energy, Ry per atom: -2.34658
Calculated density, g/cm3: 12.10

Unit cell a=4.7582 b=4.7582 c=4.7582 alpha=143.37 beta=143.37 gamma=52.78
Positions (direct):
Cu 0.0000 0.0000 0.0000
Re 0.6870 0.6870 0.0000
Si 0.3457 0.3457 0.0000

=====

Computed, not measured: a PBEsol-optimized structure of CuReSi at the SCAN level of DFT.

Calculated values
Energy relative to the lowest polymorph listed for this composition, meV per atom: 138.3
M_tot, Bohr magnetons per cell: 0.00
SG: Imm2, No. 44
Energy, Ry per atom: -2.34516
Calculated density, g/cm3: 12.08

Unit cell a=4.7432 b=4.7432 c=4.7432 alpha=146.82 beta=138.85 gamma=53.85
Positions (direct):
Cu 0.0000 0.0000 0.0000
Re 0.3167 0.3167 0.0000
Si 0.6486 0.6486 0.0000

=====

Computed, not measured: a PBEsol-optimized structure of Cu2ReSi at the SCAN level of DFT.

Calculated values
M_tot, Bohr magnetons per cell: 0.00
SG: Cmmm, No. 65
Energy, Ry per atom: -2.02724
Calculated density, g/cm3: 11.01

Unit cell a=2.5621 b=2.5621 c=7.8405 alpha=90.00 beta=90.00 gamma=90.50
Positions (direct):
Cu 0.0000 0.0000 0.2426
Cu 0.0000 0.0000 0.7574
Re 0.5000 0.5000 0.5000
Si 0.5000 0.5000 0.0000

=====

Computed, not measured: a PBEsol-optimized structure of Cu2ReSi at the SCAN level of DFT.

Calculated values
M_tot, Bohr magnetons per cell: 0.00
SG: P4/mmm, No. 123
Energy, Ry per atom: -2.02139
Calculated density, g/cm3: 11.12

Unit cell a=3.1999 b=3.1999 c=4.9775 alpha=90.00 beta=90.00 gamma=90.00
Positions (direct):
Cu 0.0000 0.0000 0.2467
Cu 0.0000 0.0000 0.7533
Re 0.5000 0.5000 0.5000
Si 0.5000 0.5000 0.0000

=====

Computed, not measured: a PBEsol-optimized structure of CuReSi at the SCAN level of DFT.

Calculated values
Energy relative to the lowest polymorph listed for this composition, meV per atom: 0.0
M_tot, Bohr magnetons per cell: 0.00
SG: P3m1, No. 156
Energy, Ry per atom: -2.35533
Calculated density, g/cm3: 12.26

Unit cell a=4.0801 b=4.0801 c=2.6111 alpha=90.00 beta=90.00 gamma=120.00
Positions (direct):
Cu 0.0000 0.0000 0.0000
Re 0.3333 0.6667 0.5000
Si 0.6667 0.3333 0.9959

=====

Computed, not measured: a PBEsol-optimized structure of CuRe3Sn at the SCAN level of DFT.

Calculated values
M_tot, Bohr magnetons per cell: 0.01
SG: Pm-3m, No. 221
Energy, Ry per atom: -3.64378
Formation energy, eV/atom: 3.3064
Calculated density, g/cm3: 11.40

Unit cell a=4.7615 b=4.7615 c=4.7615 alpha=90.00 beta=90.00 gamma=90.00
Positions (direct):
Cu 0.0000 0.0000 0.0000
Re 0.0000 0.5000 0.5000
Re 0.5000 0.0000 0.5000
Re 0.5000 0.5000 0.0000
Sn 0.5000 0.5000 0.5000